Entry 1:
The following is a DFT calculation (PBE) of a geometry-optimized MgZnIn2 structure.

a b c (Å): 6.3395 6.3395 6.3395
angles (deg): 150.88 131.95 57.18
With the nearest neighbours (Å) after each atom.
Positions (direct):
Mg 0.4731 0.4731 0.0000  2 Zn 2.87, 4 In 3.09, 2 Mg 3.19
In 0.7426 0.2426 0.5000  4 Zn 3.04, 2 In 3.19, 2 Mg 3.40
In 0.0253 0.0253 0.0000  2 Zn 3.05, 4 Mg 3.09, 2 In 3.19
Zn 0.2590 0.7590 0.5000  2 Mg 2.87, 6 In 3.04-3.05, 2 Zn 3.19

Computed properties:
For the energy above the most stable polymorph in this dataset, the calculation gives 11 kJ/mol of formula units. The value obtained for the formation energy from the elements is 0.10 eV/f.u. As for the total magnetic moment: 0.000 μB/atom.

---

Entry 2:
The following is a DFT calculation (PBE) of a geometry-optimized Mg4Zn2In structure.

a b c (Å): 4.7673 4.7673 8.0743
angles (deg): 72.83 72.83 60.00
With the nearest neighbours (Å) after each atom.
Positions (direct):
Mg 0.1321 0.1321 0.6036  4 Zn 2.76-3.00, 1 In 3.01
Mg 0.3894 0.3894 0.8318  4 Zn 2.81-3.10, 3 In 3.03
Mg 0.6106 0.6106 0.1682  4 Zn 2.81-3.10, 3 In 3.03
Mg 0.8679 0.8679 0.3964  4 Zn 2.76-3.00, 1 In 3.01
Zn 0.7467 0.7467 0.7598  7 Mg 2.76-3.00
Zn 0.2533 0.2533 0.2402  7 Mg 2.76-3.00
In 0.0000 0.0000 0.0000  8 Mg 3.01-3.03, 6 Zn 3.30

Computed properties:
The value obtained for the formation energy from the elements is -0.13 eV/f.u. As for the total magnetic moment: 0.000 μB/atom.

---

Entry 3:
The following is a DFT calculation (PBE) of a geometry-optimized MgZnIn2 structure.

a b c (Å): 4.3613 3.2189 6.7152
angles (deg): 76.97 90.00 90.00
With the nearest neighbours (Å) after each atom.
Positions (direct):
Zn 0.5000 0.9678 0.7043  3 In 2.86-2.88, 4 Mg 2.91
In 0.5000 0.1824 0.2644  1 Zn 2.88, 2 In 3.22
In 0.0000 0.8072 0.9873  2 Zn 2.86
Mg 0.0000 0.5426 0.5440  4 Zn 2.91, 2 Mg 3.22

Computed properties:
For the energy above the most stable polymorph in this dataset, the calculation gives 7 kJ/mol of formula units. The value obtained for the formation energy from the elements is 0.05 eV/f.u. As for the total magnetic moment: 0.000 μB/atom.

---

Entry 4:
The following is a DFT calculation (PBE) of a geometry-optimized MgZnIn2 structure.

a b c (Å): 7.0757 5.3778 3.2407
angles (deg): 89.94 62.84 121.35
With the nearest neighbours (Å) after each atom.
Positions (direct):
In 0.5000 0.0000 0.5000  4 Zn 3.14, 4 Mg 3.14, 4 In 3.15-3.24
In 0.0000 0.0000 0.0000  4 Mg 3.14, 4 Zn 3.14, 4 In 3.15-3.24
Mg 0.0000 0.5000 0.5000  8 In 3.14, 2 Zn 3.15, 2 Mg 3.24
Zn 0.5000 0.5000 0.0000  8 In 3.14, 2 Mg 3.15, 2 Zn 3.24

Computed properties:
For the energy above the most stable polymorph in this dataset, the calculation gives 5 kJ/mol of formula units. The value obtained for the formation energy from the elements is 0.03 eV/f.u. As for the total magnetic moment: 0.000 μB/atom.

---

Entry 5:
The following is a DFT calculation (PBE) of a geometry-optimized Mg3ZnIn structure.

a b c (Å): 4.4861 5.6256 9.2440
angles (deg): 95.04 90.00 113.50
With the nearest neighbours (Å) after each atom.
Positions (direct):
Mg 0.5391 0.0781 0.8386  1 Zn 2.81
Mg 0.4609 0.9219 0.1614  1 Zn 2.81
Mg 0.0841 0.1683 0.3756  3 Zn 2.81-3.03, 3 Mg 3.01-3.14, 1 In 3.07
Mg 0.2283 0.4565 0.7171  3 Zn 2.84-3.09, 2 Mg 3.14
Mg 0.7717 0.5435 0.2829  3 Zn 2.84-3.09, 2 Mg 3.14
Mg 0.9159 0.8317 0.6244  3 Zn 2.81-3.03, 3 Mg 3.01-3.14, 1 In 3.07
In 0.8477 0.6953 0.9402  9 Mg 3.07-3.34, 3 In 3.23-3.28
In 0.1523 0.3047 0.0598  9 Mg 3.07-3.34, 3 In 3.23-3.28
Zn 0.6226 0.2452 0.5576  1 Zn 2.65, 5 Mg 2.81-2.84
Zn 0.3774 0.7548 0.4424  1 Zn 2.65, 5 Mg 2.81-2.84

Computed properties:
For the energy above the most stable polymorph in this dataset, the calculation gives 0 kJ/mol of formula units. The value obtained for the formation energy from the elements is -0.30 eV/f.u. As for the total magnetic moment: 0.000 μB/atom.

---

Entry 6:
The following is a DFT calculation (PBE) of a geometry-optimized Mg5Zn2In4 structure.

a b c (Å): 3.3089 8.1747 17.6621
angles (deg): 90.00 90.00 90.00
With the nearest neighbours (Å) after each atom.
Positions (direct):
Zn 0.5000 0.0100 0.8055  6 Mg 2.82-2.91, 2 In 2.87-2.88
Zn 0.5000 0.4900 0.3055  6 Mg 2.82-2.91, 2 In 2.87-2.88
Zn 0.5000 0.9900 0.1945  6 Mg 2.82-2.91, 2 In 2.87-2.88
Zn 0.5000 0.5100 0.6945  6 Mg 2.82-2.91, 2 In 2.87-2.88
Mg 0.0000 0.0000 0.5000  8 In 3.12-3.17, 4 Mg 3.31-3.33
Mg 0.0000 0.8724 0.0765  2 Zn 2.83, 4 In 3.12-3.15
Mg 0.0000 0.3724 0.4235  2 Zn 2.83, 4 In 3.12-3.15
Mg 0.0000 0.2236 0.7217  4 Zn 2.82-2.91
Mg 0.0000 0.7764 0.2783  4 Zn 2.82-2.91
Mg 0.0000 0.5000 0.0000  8 In 3.12-3.17, 4 Mg 3.31-3.33
Mg 0.0000 0.1276 0.9235  2 Zn 2.83, 4 In 3.12-3.15
Mg 0.0000 0.7236 0.7783  4 Zn 2.82-2.91
Mg 0.0000 0.2764 0.2217  4 Zn 2.82-2.91
Mg 0.0000 0.6276 0.5765  2 Zn 2.83, 4 In 3.12-3.15
In 0.5000 0.2114 0.0685  1 Zn 2.87, 4 Mg 3.12
In 0.5000 0.7114 0.4315  1 Zn 2.87, 4 Mg 3.12
In 0.5000 0.7886 0.9315  1 Zn 2.87, 4 Mg 3.12
In 0.5000 0.9161 0.6483  1 Zn 2.88, 4 Mg 3.15-3.17
In 0.5000 0.4161 0.8517  1 Zn 2.88, 4 Mg 3.15-3.17
In 0.5000 0.5839 0.1483  1 Zn 2.88, 4 Mg 3.15-3.17
In 0.5000 0.2886 0.5685  1 Zn 2.87, 4 Mg 3.12
In 0.5000 0.0839 0.3517  1 Zn 2.88, 4 Mg 3.15-3.17

Computed properties:
The value obtained for the formation energy from the elements is -0.77 eV/f.u. As for the total magnetic moment: 0.000 μB/atom.

---

Entry 7:
The following is a DFT calculation (PBE) of a geometry-optimized MgZnIn2 structure.

a b c (Å): 5.4890 5.4890 5.4890
angles (deg): 132.27 132.27 69.81
With the nearest neighbours (Å) after each atom.
Positions (direct):
Mg 0.5000 0.5000 0.0000  8 In 3.14-3.16, 4 Zn 3.16
Zn 0.7500 0.2500 0.5000  8 In 3.14-3.16, 4 Mg 3.16
In 0.2500 0.7500 0.5000  4 Zn 3.14, 4 In 3.16, 4 Mg 3.16
In 0.0000 0.0000 0.0000  4 Mg 3.14, 4 Zn 3.16, 4 In 3.16

Computed properties:
For the energy above the most stable polymorph in this dataset, the calculation gives 5 kJ/mol of formula units. The value obtained for the formation energy from the elements is 0.03 eV/f.u. As for the total magnetic moment: 0.000 μB/atom.

---

Entry 8:
The following is a DFT calculation (PBE) of a geometry-optimized MgZnIn2 structure.

a b c (Å): 4.3843 4.3843 10.4991
angles (deg): 77.95 77.95 90.00
With the nearest neighbours (Å) after each atom.
Positions (direct):
Zn 0.0000 0.0000 0.0000  4 In 2.94, 4 Mg 3.10
Zn 0.7500 0.2500 0.5000  4 In 2.94, 4 Mg 3.10
Mg 0.5000 0.5000 0.0000  4 In 2.96, 4 Zn 3.10
Mg 0.2500 0.7500 0.5000  4 In 2.96, 4 Zn 3.10
In 0.6309 0.1250 0.2500  2 Zn 2.94, 2 Mg 2.96, 4 In 3.06-3.14
In 0.1191 0.6250 0.2500  2 Zn 2.94, 2 Mg 2.96, 4 In 3.06-3.14
In 0.3750 0.3691 0.7500  2 Zn 2.94, 2 Mg 2.96, 4 In 3.06-3.14
In 0.8750 0.8809 0.7500  2 Zn 2.94, 2 Mg 2.96, 4 In 3.06-3.14

Computed properties:
For the energy above the most stable polymorph in this dataset, the calculation gives 36 kJ/mol of formula units. The value obtained for the formation energy from the elements is 0.35 eV/f.u. As for the total magnetic moment: 0.000 μB/atom.

---

Entry 9:
The following is a DFT calculation (PBE) of a geometry-optimized Mg2ZnIn8 structure.

a b c (Å): 4.6174 4.6174 13.0504
angles (deg): 90.00 90.00 90.00
With the nearest neighbours (Å) after each atom.
Positions (direct):
In 0.5000 0.0000 0.5000  4 Mg 3.25, 8 In 3.26-3.34
In 0.0000 0.5000 0.5000  4 Mg 3.25, 8 In 3.26-3.34
In 0.0000 0.5000 0.8620  2 Zn 2.93, 6 In 3.26-3.27
In 0.0000 0.5000 0.1380  2 Zn 2.93, 6 In 3.26-3.27
In 0.5000 0.5000 0.3155  4 Mg 3.27, 8 In 3.27-3.34
In 0.5000 0.0000 0.1380  2 Zn 2.93, 6 In 3.26-3.27
In 0.5000 0.5000 0.6845  4 Mg 3.27, 8 In 3.27-3.34
In 0.5000 0.0000 0.8620  2 Zn 2.93, 6 In 3.26-3.27
Mg 0.0000 0.0000 0.6748  12 In 3.25-3.36
Mg 0.0000 0.0000 0.3252  12 In 3.25-3.36
Zn 0.0000 0.0000 0.0000  8 In 2.93

Computed properties:
The value obtained for the formation energy from the elements is 0.05 eV/f.u. As for the total magnetic moment: 0.000 μB/atom.

---

Entry 10:
The following is a DFT calculation (PBE) of a geometry-optimized Mg3Zn8In structure.

a b c (Å): 5.3408 5.3408 8.3938
angles (deg): 90.00 90.00 120.00
With the nearest neighbours (Å) after each atom.
Positions (direct):
Zn 0.9902 0.4951 0.7532  6 Zn 2.59-2.75
Zn 0.5049 0.4951 0.7532  6 Zn 2.59-2.75
Zn 0.6730 0.8365 0.2464  6 Zn 2.62-2.72
Zn 0.5049 0.0098 0.7532  6 Zn 2.59-2.75
Zn 0.3333 0.6667 0.4998  6 Zn 2.64-2.65
Zn 0.3333 0.6667 0.9966  6 Zn 2.59-2.62
Zn 0.1635 0.8365 0.2464  6 Zn 2.62-2.72
Zn 0.1635 0.3270 0.2464  6 Zn 2.62-2.72
In 0.0000 0.0000 0.5651  12 Zn 3.07-3.13, 4 Mg 3.13-3.26
Mg 0.6667 0.3333 0.4385  12 Zn 3.04-3.13, 1 Mg 3.15, 3 In 3.26
Mg 0.6667 0.3333 0.0628  12 Zn 3.00-3.13, 4 Mg 3.15-3.26
Mg 0.0000 0.0000 0.9385  12 Zn 2.99-3.12, 1 In 3.13, 3 Mg 3.26

Computed properties:
The value obtained for the formation energy from the elements is -0.79 eV/f.u. As for the total magnetic moment: 0.000 μB/atom.

---

Entry 11:
The following is a DFT calculation (PBE) of a geometry-optimized MgZnIn2 structure.

a b c (Å): 4.9774 4.9774 5.8411
angles (deg): 77.73 77.73 40.00
With the nearest neighbours (Å) after each atom.
Positions (direct):
In 0.5071 0.5071 0.4862  3 Zn 2.92-3.03, 3 Mg 3.02-3.06, 2 In 3.27
In 0.9929 0.9929 0.0138  3 Zn 2.92-3.03, 3 Mg 3.02-3.06, 2 In 3.27
Mg 0.7500 0.7500 0.7500  6 In 3.02-3.06, 4 Zn 3.38
Zn 0.2500 0.2500 0.2500  6 In 2.92-3.03

Computed properties:
For the energy above the most stable polymorph in this dataset, the calculation gives 9 kJ/mol of formula units. The value obtained for the formation energy from the elements is 0.08 eV/f.u. As for the total magnetic moment: 0.000 μB/atom.

---

Entry 12:
The following is a DFT calculation (PBE) of a geometry-optimized Mg5Zn3In3 structure.

a b c (Å): 6.1733 8.1933 8.0822
angles (deg): 117.49 139.64 69.05
With the nearest neighbours (Å) after each atom.
Positions (direct):
Zn 0.4615 0.0001 0.2820  5 Mg 2.82-3.05, 4 In 2.87-3.16
Zn 0.4562 0.6690 0.6170  6 Mg 2.75-3.07, 1 In 2.86
Zn 0.4426 0.3298 0.9385  7 Mg 2.78-3.09, 2 In 2.83-3.05
Mg 0.2162 0.6478 0.1171  4 Zn 2.80-3.09, 2 Mg 3.02-3.06
Mg 0.2027 0.3486 0.4568  4 Zn 2.78-3.09, 2 Mg 3.03-3.09
Mg 0.7053 0.6462 0.0937  4 Zn 2.80-3.07, 1 Mg 3.02, 2 In 3.07
Mg 0.6934 0.3577 0.4415  4 Zn 2.80-3.06, 1 Mg 3.03, 2 In 3.04-3.11
Mg 0.7893 0.9971 0.9946  3 Zn 2.75-2.82, 2 In 2.86, 1 Mg 3.06
In 0.9711 0.7590 0.6664  7 Mg 3.07-3.35, 4 Zn 3.10-3.21
In 0.1039 0.0043 0.4986  3 Zn 2.83-2.87, 4 Mg 2.86-3.07
In 0.9576 0.2404 0.8938  4 Zn 3.05-3.26, 7 Mg 3.11-3.36

Computed properties:
The value obtained for the formation energy from the elements is -0.36 eV/f.u. As for the total magnetic moment: 0.000 μB/atom.